KTl2P: relaxed, PBE.

Structure (POSCAR):
```
KTl2P
1.0
3.954 0.000 0.000
0.000 3.954 0.000
0.000 0.000 7.647
K Tl P
1 2 1
direct
0.000 0.000 0.000 K
0.000 0.000 0.434 Tl
0.500 0.500 0.666 Tl
0.500 0.500 0.293 P
```

Computed properties:
* mass density: 6.7 g/cm³
* relative energy among the computed polymorphs: 2.80 kcal/mol of atoms
* energy relative to the elements: 0.8 kJ/mol of atoms